(1)
This record from the Alexandria database describes a geometry-optimized Y3FeTe structure. The functional is GGA-PBEsol.

Cell and atoms, written as POSCAR:
```
Y3FeTe
1.0
5.5254 0.0000 0.0000
0.0000 5.5254 0.0000
0.0000 0.0000 5.5254
Y Fe Te
3 1 1
Direct
0.0000 0.0000 0.5000 Y
0.0000 0.5000 0.0000 Y
0.5000 0.0000 0.0000 Y
0.5000 0.5000 0.5000 Fe
0.0000 0.0000 0.0000 Te
```

(2)
This record from the Alexandria database describes a geometry-optimized YFe2Te structure. The functional is GGA-PBEsol.

Cell and atoms, written as POSCAR:
```
YFe2Te
1.0
2.0069 1.1587 5.2480
-2.0069 1.1587 5.2480
0.0000 -2.3174 5.2480
Y Fe Te
1 2 1
Direct
0.0000 0.0000 0.0000 Y
0.4653 0.4653 0.4653 Fe
0.7820 0.7820 0.7820 Fe
0.2014 0.2014 0.2014 Te
```

Number 1: raw formation energy 0.56 eV per atom. Number 2: raw formation energy -0.25 eV per atom.